Record 1
# PBE-GGA CsMgInPb2, relaxed
# ΔH_f (0 K): -98 meV per atom
# Symmetry: No. 119
data_CsMgInPb2
_chemical_formula_sum 'Cs2 Mg2 In2 Pb4'
_cell_length_a 5.228
_cell_length_b 5.228
_cell_length_c 13.003
_cell_angle_alpha 90.00
_cell_angle_beta 90.00
_cell_angle_gamma 90.00
_symmetry_space_group_name_H-M 'P 1'
_symmetry_Int_Tables_number 1
loop_
_symmetry_equiv_pos_as_xyz
'x,y,z'
loop_
_atom_site_label
_atom_site_fract_x
_atom_site_fract_y
_atom_site_fract_z
Cs1 0.000 0.000 0.000
Cs2 0.500 0.500 0.500
Mg1 0.000 0.500 0.750
Mg2 0.500 0.000 0.250
In1 0.000 0.500 0.250
In2 0.500 0.000 0.750
Pb1 0.000 0.000 0.377
Pb2 0.000 0.000 0.623
Pb3 0.500 0.500 0.123
Pb4 0.500 0.500 0.877


Record 2
# PBE-GGA Rb3Ge2Cl8, relaxed
# Symmetry: No. 166
# Formation energy (no corrections): -1.2951 eV per atom
data_Rb3Ge2Cl8
_chemical_formula_sum 'Rb3 Ge2 Cl8'
_cell_length_a 9.464
_cell_length_b 9.464
_cell_length_c 9.464
_cell_angle_alpha 48.85
_cell_angle_beta 48.85
_cell_angle_gamma 48.85
_symmetry_space_group_name_H-M 'P 1'
_symmetry_Int_Tables_number 1
loop_
_symmetry_equiv_pos_as_xyz
'x,y,z'
loop_
_atom_site_label
_atom_site_fract_x
_atom_site_fract_y
_atom_site_fract_z
Rb1 0.000 0.000 0.000
Rb2 0.215 0.215 0.215
Rb3 0.785 0.785 0.785
Ge1 0.441 0.441 0.441
Ge2 0.559 0.559 0.559
Cl1 0.199 0.739 0.739
Cl2 0.261 0.261 0.801
Cl3 0.261 0.801 0.261
Cl4 0.348 0.348 0.348
Cl5 0.652 0.652 0.652
Cl6 0.739 0.199 0.739
Cl7 0.739 0.739 0.199
Cl8 0.801 0.261 0.261


Record 3
# PBE-GGA NbVPd4, relaxed
# ΔH_f (0 K): -341 meV per atom
# Symmetry: No. 12
data_NbVPd4
_chemical_formula_sum 'Nb2 V2 Pd8'
_cell_length_a 4.807
_cell_length_b 8.386
_cell_length_c 4.800
_cell_angle_alpha 90.00
_cell_angle_beta 108.88
_cell_angle_gamma 90.00
_symmetry_space_group_name_H-M 'P 1'
_symmetry_Int_Tables_number 1
loop_
_symmetry_equiv_pos_as_xyz
'x,y,z'
loop_
_atom_site_label
_atom_site_fract_x
_atom_site_fract_y
_atom_site_fract_z
Nb1 0.000 0.000 0.000
Nb2 0.500 0.500 0.000
V1 0.000 0.500 0.500
V2 0.500 0.000 0.500
Pd1 0.000 0.166 0.500
Pd2 0.000 0.337 0.000
Pd3 0.000 0.663 0.000
Pd4 0.000 0.834 0.500
Pd5 0.500 0.163 0.000
Pd6 0.500 0.334 0.500
Pd7 0.500 0.666 0.500
Pd8 0.500 0.837 0.000


Record 4
# PBE-GGA Y2MnCl, relaxed
# Symmetry: No. 122
# Formation energy (no corrections): 0.1428 eV per atom
data_Y2MnCl
_chemical_formula_sum 'Y8 Mn4 Cl4'
_cell_length_a 6.055
_cell_length_b 6.055
_cell_length_c 12.163
_cell_angle_alpha 90.00
_cell_angle_beta 90.00
_cell_angle_gamma 90.00
_symmetry_space_group_name_H-M 'P 1'
_symmetry_Int_Tables_number 1
loop_
_symmetry_equiv_pos_as_xyz
'x,y,z'
loop_
_atom_site_label
_atom_site_fract_x
_atom_site_fract_y
_atom_site_fract_z
Y1 0.201 0.250 0.125
Y2 0.250 0.701 0.375
Y3 0.250 0.799 0.875
Y4 0.299 0.250 0.625
Y5 0.701 0.750 0.625
Y6 0.750 0.201 0.875
Y7 0.750 0.299 0.375
Y8 0.799 0.750 0.125
Mn1 0.000 0.000 0.000
Mn2 0.000 0.500 0.250
Mn3 0.500 0.000 0.750
Mn4 0.500 0.500 0.500
Cl1 0.000 0.000 0.500
Cl2 0.000 0.500 0.750
Cl3 0.500 0.000 0.250
Cl4 0.500 0.500 0.000


Record 5
# PBE-GGA Nd2MgIr, relaxed
# ΔH_f (0 K): -354 meV per atom
# Symmetry: No. 123
data_Nd2MgIr
_chemical_formula_sum 'Nd2 Mg1 Ir1'
_cell_length_a 3.664
_cell_length_b 3.664
_cell_length_c 7.776
_cell_angle_alpha 90.00
_cell_angle_beta 90.00
_cell_angle_gamma 90.00
_symmetry_space_group_name_H-M 'P 1'
_symmetry_Int_Tables_number 1
loop_
_symmetry_equiv_pos_as_xyz
'x,y,z'
loop_
_atom_site_label
_atom_site_fract_x
_atom_site_fract_y
_atom_site_fract_z
Nd1 0.000 0.000 0.212
Nd2 0.000 0.000 0.788
Mg1 0.500 0.500 0.500
Ir1 0.500 0.500 0.000


Record 6
# PBE-GGA K3Zn, relaxed
# ΔH_f (0 K): 153 meV per atom
# Symmetry: No. 12
data_K3Zn
_chemical_formula_sum 'K6 Zn2'
_cell_length_a 8.543
_cell_length_b 8.539
_cell_length_c 6.968
_cell_angle_alpha 90.00
_cell_angle_beta 127.64
_cell_angle_gamma 90.00
_symmetry_space_group_name_H-M 'P 1'
_symmetry_Int_Tables_number 1
loop_
_symmetry_equiv_pos_as_xyz
'x,y,z'
loop_
_atom_site_label
_atom_site_fract_x
_atom_site_fract_y
_atom_site_fract_z
K1 0.000 0.000 0.000
K2 0.000 0.250 0.500
K3 0.000 0.750 0.500
K4 0.500 0.250 0.500
K5 0.500 0.500 0.000
K6 0.500 0.750 0.500
Zn1 0.000 0.500 0.000
Zn2 0.500 0.000 0.000